## Pm2PrDy5Th (PBE)

Data for an optimized crystal structure of Pm2PrDy5Th.

Structure (POSCAR):
```
Pm2PrDy5Th
1.0
2.833 -10.087 0.000
2.833 10.087 0.000
0.000 0.000 10.505
Pm Pr Dy Th
4 2 10 2
Direct
0.114 0.886 0.500
0.116 0.884 0.909
0.884 0.116 0.409
0.886 0.114 0.000
0.413 0.587 0.628
0.587 0.413 0.128
0.016 0.984 0.204
0.276 0.724 0.498
0.298 0.702 0.890
0.387 0.613 0.204
0.478 0.522 0.917
0.522 0.478 0.417
0.613 0.387 0.704
0.702 0.298 0.390
0.724 0.276 0.998
0.984 0.016 0.704
0.201 0.799 0.194
0.799 0.201 0.694
```

Calculated values
Space group   No. 36

***

## PmPr5Dy2Th (PBE)

Data for an optimized crystal structure of PmPr5Dy2Th.

Structure (POSCAR):
```
PmPr5Dy2Th
1.0
2.871 -10.347 0.000
2.871 10.347 0.000
0.000 0.000 10.667
Pm Pr Dy Th
2 10 4 2
Direct
0.092 0.908 0.500
0.908 0.092 0.000
0.020 0.980 0.209
0.114 0.886 0.927
0.208 0.792 0.250
0.223 0.777 0.639
0.485 0.515 0.933
0.515 0.485 0.433
0.777 0.223 0.139
0.792 0.208 0.750
0.886 0.114 0.427
0.980 0.020 0.709
0.384 0.616 0.639
0.387 0.613 0.216
0.613 0.387 0.716
0.616 0.384 0.139
0.301 0.699 0.941
0.699 0.301 0.441
```

Calculated values
Space group   No. 36

***

## Pm2Pr4DyTh (PBE)

Data for an optimized crystal structure of Pm2Pr4DyTh.

Structure (POSCAR):
```
Pm2Pr4DyTh
1.0
6.125 0.000 0.000
0.000 6.136 0.000
-0.018 0.000 7.351
Pm Pr Dy Th
2 4 1 1
Direct
0.000 0.000 0.000
0.500 0.500 0.500
0.000 0.500 0.245
0.000 0.500 0.755
0.500 0.000 0.244
0.500 0.000 0.756
0.000 0.000 0.500
0.500 0.500 0.000
```

Calculated values
Space group   No. 10

***

## PmPrDyTh (PBE)

Data for an optimized crystal structure of PmPrDyTh.

Structure (POSCAR):
```
PmPrDyTh
1.0
0.000 4.065 4.065
4.065 0.000 4.065
4.065 4.065 0.000
Pm Pr Dy Th
1 1 1 1
Direct
0.000 0.000 0.000
0.750 0.750 0.750
0.500 0.500 0.500
0.250 0.250 0.250
```

Calculated values
Space group   No. 216
Energy above the most stable polymorph in this dataset   0.141 eV/atom

***

## PmPr3DyTh (PBE)

Data for an optimized crystal structure of PmPr3DyTh.

Structure (POSCAR):
```
PmPr3DyTh
1.0
10.937 0.000 0.000
0.000 3.656 0.000
-3.633 0.000 10.356
Pm Pr Dy Th
2 6 2 2
Direct
0.130 0.250 0.132
0.870 0.750 0.868
0.046 0.750 0.376
0.209 0.750 0.874
0.459 0.250 0.135
0.541 0.750 0.865
0.791 0.250 0.126
0.954 0.250 0.624
0.297 0.250 0.618
0.703 0.750 0.382
0.380 0.750 0.381
0.620 0.250 0.619
```

Calculated values
Space group   No. 11

***

## PmPr2Dy5Th (PBE)

Data for an optimized crystal structure of PmPr2Dy5Th.

Structure (POSCAR):
```
PmPr2Dy5Th
1.0
2.836 -10.106 0.000
2.836 10.106 0.000
0.000 0.000 10.548
Pm Pr Dy Th
2 4 10 2
Direct
0.088 0.912 0.500
0.912 0.088 0.000
0.384 0.616 0.777
0.385 0.615 0.369
0.615 0.385 0.869
0.616 0.384 0.277
0.021 0.979 0.787
0.111 0.889 0.073
0.202 0.798 0.757
0.223 0.777 0.364
0.483 0.517 0.072
0.517 0.483 0.572
0.777 0.223 0.864
0.798 0.202 0.257
0.889 0.111 0.573
0.979 0.021 0.287
0.299 0.701 0.062
0.701 0.299 0.562
```

Calculated values
Space group   No. 36

***

no.,formation energy from the elements (eV per atom),Fermi-level density of states (states/eV/cell)
1,0.163,28.59
2,0.157,26.55
3,0.133,15.76
4,0.166,8.28
5,0.027,18.87
6,0.158,27.63